Density functional theory data (GGA-PBE) for crystalline Pr2GaSn4Pd3 at its relaxed geometry.

Lattice parameters (Å, degrees): 4.511 4.511 11.298 90.00 90.00 90.00
Space group P-4m2 (No. 115)
Inequivalent atoms, fractional coordinates:
Pr 0.000 0.500 0.249 [2 per cell]
Ga 0.500 0.500 0.000 [1 per cell]
Sn 0.000 0.000 0.500 [1 per cell]
Sn 0.000 0.500 0.862 [2 per cell]
Sn 0.500 0.500 0.500 [1 per cell]
Pd 0.000 0.000 0.000 [1 per cell]
Pd 0.000 0.500 0.632 [2 per cell]

## Properties
ρ (g/cm3): 8.275
Total magnetization (μB/f.u.): 0.00
ΔH_f (0 K) (eV per atom): -0.695